A geometry-optimized Ba2IN2 structure, computed with PBE-GGA.

Summary:
total moment: 0.000 μB/cell
energy: -5.3820 eV/atom

Cell and atoms, written as CIF:
```
data_Ba2IN2
_cell_length_a 16.838
_cell_length_b 4.545
_cell_length_c 7.485
_cell_angle_alpha 90.00
_cell_angle_beta 100.20
_cell_angle_gamma 90.00
_space_group_name_H-M_alt 'C 1 2/c 1'
_space_group_IT_number 15
loop_
_space_group_symop_operation_xyz
'x,y,z'
'-x,-y,-z'
'-x,y,-z+1/2'
'x,-y,z+1/2'
'x+1/2,y+1/2,z'
'-x+1/2,-y+1/2,-z'
'-x+1/2,y+1/2,-z+1/2'
'x+1/2,-y+1/2,z+1/2'
loop_
_atom_site_label
_atom_site_type_symbol
_atom_site_fract_x
_atom_site_fract_y
_atom_site_fract_z
Ba1 Ba 0.157 0.212 0.153
I1 I 0.000 0.280 0.750
N1 N 0.230 0.358 0.524
```



A geometry-optimized Ba2IN structure, computed with PBE-GGA.

Summary:
total moment: 0.000 μB/cell
energy: -3.7320 eV/atom

Cell and atoms, written as CIF:
```
data_Ba2IN
_cell_length_a 7.873
_cell_length_b 7.873
_cell_length_c 7.873
_cell_angle_alpha 90.00
_cell_angle_beta 90.00
_cell_angle_gamma 90.00
_space_group_name_H-M_alt 'F m -3 m'
_space_group_IT_number 225
_space_group_name_Hall '-F 4 2 3'
loop_
_atom_site_label
_atom_site_type_symbol
_atom_site_fract_x
_atom_site_fract_y
_atom_site_fract_z
Ba1 Ba 0.250 0.250 0.250
I1 I 0.000 0.000 0.000
N1 N 0.000 0.000 0.500
```



A geometry-optimized Ba5I2N2 structure, computed with PBE-GGA.

Summary:
total moment: 0.001 μB/cell
energy: -4.0644 eV/atom

Cell and atoms, written as CIF:
```
data_Ba5I2N2
_cell_length_a 18.164
_cell_length_b 4.716
_cell_length_c 8.739
_cell_angle_alpha 90.00
_cell_angle_beta 93.17
_cell_angle_gamma 90.00
_space_group_name_H-M_alt 'C 1 2/m 1'
_space_group_IT_number 12
loop_
_space_group_symop_operation_xyz
'x,y,z'
'-x,-y,-z'
'-x,y,-z'
'x,-y,z'
'x+1/2,y+1/2,z'
'-x+1/2,-y+1/2,-z'
'-x+1/2,y+1/2,-z'
'x+1/2,-y+1/2,z'
loop_
_atom_site_label
_atom_site_type_symbol
_atom_site_fract_x
_atom_site_fract_y
_atom_site_fract_z
Ba1 Ba 0.000 0.000 0.000
Ba2 Ba 0.134 0.000 0.642
Ba3 Ba 0.183 0.500 0.065
I1 I 0.028 0.500 0.296
N1 N 0.152 0.000 0.924
```



A geometry-optimized Ba2IN structure, computed with PBE-GGA.

Summary:
total moment: 0.000 μB/cell
energy: -4.3803 eV/atom

Cell and atoms, written as CIF:
```
data_Ba2IN
_cell_length_a 7.941
_cell_length_b 7.941
_cell_length_c 9.429
_cell_angle_alpha 90.00
_cell_angle_beta 90.00
_cell_angle_gamma 90.00
_space_group_name_H-M_alt 'I -4 2 d'
_space_group_IT_number 122
_space_group_name_Hall 'I -4 2bw'
loop_
_atom_site_label
_atom_site_type_symbol
_atom_site_fract_x
_atom_site_fract_y
_atom_site_fract_z
Ba1 Ba 0.151 0.750 0.125
I1 I 0.000 0.000 0.500
N1 N 0.000 0.000 0.000
```



A geometry-optimized Ba3I2N structure, computed with PBE-GGA.

Summary:
total moment: 0.002 μB/cell
energy above the most stable polymorph in this dataset: 0.031 eV per atom
energy: -3.9391 eV/atom

Cell and atoms, written as CIF:
```
data_Ba3I2N
_cell_length_a 7.742
_cell_length_b 13.449
_cell_length_c 8.800
_cell_angle_alpha 90.00
_cell_angle_beta 107.51
_cell_angle_gamma 90.00
_space_group_name_H-M_alt 'C 1 2/m 1'
_space_group_IT_number 12
loop_
_space_group_symop_operation_xyz
'x,y,z'
'-x,-y,-z'
'-x,y,-z'
'x,-y,z'
'x+1/2,y+1/2,z'
'-x+1/2,-y+1/2,-z'
'-x+1/2,y+1/2,-z'
'x+1/2,-y+1/2,z'
loop_
_atom_site_label
_atom_site_type_symbol
_atom_site_fract_x
_atom_site_fract_y
_atom_site_fract_z
Ba1 Ba 0.178 0.000 0.185
Ba2 Ba 0.242 0.193 0.810
I1 I 0.000 0.000 0.500
I2 I 0.000 0.347 0.500
I3 I 0.000 0.500 0.000
N1 N 0.000 0.169 0.000
```



A geometry-optimized Ba3IN structure, computed with PBE-GGA.

Summary:
total moment: 1.389 μB/cell
energy above the most stable polymorph in this dataset: 0.000 eV per atom
energy: -3.8597 eV/atom

Cell and atoms, written as CIF:
```
data_Ba3IN
_cell_length_a 8.310
_cell_length_b 8.383
_cell_length_c 9.044
_cell_angle_alpha 107.60
_cell_angle_beta 100.22
_cell_angle_gamma 118.41
_space_group_name_H-M_alt 'P 1'
_space_group_IT_number 1
loop_
_space_group_symop_operation_xyz
'x,y,z'
loop_
_atom_site_label
_atom_site_type_symbol
_atom_site_fract_x
_atom_site_fract_y
_atom_site_fract_z
Ba1 Ba 0.000 0.000 0.000
Ba2 Ba 0.017 0.531 0.627
Ba3 Ba 0.174 0.052 0.604
Ba4 Ba 0.522 0.986 0.265
Ba5 Ba 0.605 0.592 0.501
Ba6 Ba 0.794 0.459 0.138
I1 I 0.482 0.590 0.882
I2 I 0.667 0.109 0.717
N1 N 0.705 0.355 0.355
N2 N 0.976 0.827 0.715
```



A geometry-optimized BaI2N2 structure, computed with PBE-GGA.

Summary:
total moment: 1.438 μB/cell
energy above the most stable polymorph in this dataset: 2.413 eV per atom
energy: -2.9777 eV/atom

Cell and atoms, written as CIF:
```
data_BaI2N2
_cell_length_a 5.247
_cell_length_b 5.247
_cell_length_c 7.277
_cell_angle_alpha 90.00
_cell_angle_beta 90.00
_cell_angle_gamma 90.00
_space_group_name_H-M_alt 'P 4/m m m'
_space_group_IT_number 123
_space_group_name_Hall '-P 4 2'
loop_
_atom_site_label
_atom_site_type_symbol
_atom_site_fract_x
_atom_site_fract_y
_atom_site_fract_z
Ba1 Ba 0.000 0.000 0.000
I1 I 0.000 0.000 0.500
I2 I 0.500 0.500 0.500
N1 N 0.000 0.500 0.000
```



A geometry-optimized BaNbIN2 structure, computed with PBE-GGA.

Summary:
total moment: 0.000 μB/cell
energy above the most stable polymorph in this dataset: 0.000 eV per atom
energy: -6.1229 eV/atom

Cell and atoms, written as CIF:
```
data_BaNbIN2
_cell_length_a 4.383
_cell_length_b 4.383
_cell_length_c 5.532
_cell_angle_alpha 90.00
_cell_angle_beta 90.00
_cell_angle_gamma 90.00
_space_group_name_H-M_alt 'P 4/m m m'
_space_group_IT_number 123
_space_group_name_Hall '-P 4 2'
loop_
_atom_site_label
_atom_site_type_symbol
_atom_site_fract_x
_atom_site_fract_y
_atom_site_fract_z
Ba1 Ba 0.000 0.000 0.000
Nb1 Nb 0.500 0.500 0.500
I1 I 0.500 0.500 0.000
N1 N 0.000 0.500 0.500
```



A geometry-optimized BaNbIN2 structure, computed with PBE-GGA.

Summary:
total moment: 0.926 μB/cell
energy above the most stable polymorph in this dataset: 0.353 eV per atom
energy: -5.7698 eV/atom

Cell and atoms, written as CIF:
```
data_BaNbIN2
_cell_length_a 4.345
_cell_length_b 4.345
_cell_length_c 6.818
_cell_angle_alpha 90.00
_cell_angle_beta 90.00
_cell_angle_gamma 90.00
_space_group_name_H-M_alt 'P 4/m m m'
_space_group_IT_number 123
_space_group_name_Hall '-P 4 2'
loop_
_atom_site_label
_atom_site_type_symbol
_atom_site_fract_x
_atom_site_fract_y
_atom_site_fract_z
Ba1 Ba 0.000 0.000 0.000
Nb1 Nb 0.000 0.000 0.500
I1 I 0.500 0.500 0.000
N1 N 0.000 0.500 0.500
```



A geometry-optimized BaNbIN2 structure, computed with PBE-GGA.

Summary:
total moment: 0.251 μB/cell
energy above the most stable polymorph in this dataset: 2.178 eV per atom
energy: -3.9446 eV/atom

Cell and atoms, written as CIF:
```
data_BaNbIN2
_cell_length_a 4.563
_cell_length_b 4.563
_cell_length_c 6.464
_cell_angle_alpha 90.00
_cell_angle_beta 90.00
_cell_angle_gamma 90.00
_space_group_name_H-M_alt 'P 4/m m m'
_space_group_IT_number 123
_space_group_name_Hall '-P 4 2'
loop_
_atom_site_label
_atom_site_type_symbol
_atom_site_fract_x
_atom_site_fract_y
_atom_site_fract_z
Ba1 Ba 0.000 0.000 0.000
Nb1 Nb 0.500 0.500 0.500
I1 I 0.000 0.000 0.500
N1 N 0.000 0.500 0.000
```



A geometry-optimized Ba2NdI2N2 structure, computed with PBE-GGA.

Summary:
total moment: 1.611 μB/cell
energy: -5.1934 eV/atom

Cell and atoms, written as CIF:
```
data_Ba2NdI2N2
_cell_length_a 4.747
_cell_length_b 4.747
_cell_length_c 18.974
_cell_angle_alpha 90.00
_cell_angle_beta 90.00
_cell_angle_gamma 90.00
_space_group_name_H-M_alt 'I 4/m m m'
_space_group_IT_number 139
_space_group_name_Hall '-I 4 2'
loop_
_atom_site_label
_atom_site_type_symbol
_atom_site_fract_x
_atom_site_fract_y
_atom_site_fract_z
Ba1 Ba 0.000 0.000 0.096
Nd1 Nd 0.000 0.000 0.500
I1 I 0.000 0.000 0.325
N1 N 0.000 0.500 0.000
```



A geometry-optimized Ba6I3NO2 structure, computed with PBE-GGA.

Summary:
total moment: 0.001 μB/cell
energy: -4.4272 eV/atom

Cell and atoms, written as CIF:
```
data_Ba6I3NO2
_cell_length_a 7.266
_cell_length_b 12.589
_cell_length_c 8.590
_cell_angle_alpha 90.00
_cell_angle_beta 106.39
_cell_angle_gamma 90.00
_space_group_name_H-M_alt 'C 1 2/m 1'
_space_group_IT_number 12
loop_
_space_group_symop_operation_xyz
'x,y,z'
'-x,-y,-z'
'-x,y,-z'
'x,-y,z'
'x+1/2,y+1/2,z'
'-x+1/2,-y+1/2,-z'
'-x+1/2,y+1/2,-z'
'x+1/2,-y+1/2,z'
loop_
_atom_site_label
_atom_site_type_symbol
_atom_site_fract_x
_atom_site_fract_y
_atom_site_fract_z
Ba1 Ba 0.226 0.166 0.179
Ba2 Ba 0.228 0.500 0.179
I1 I 0.000 0.166 0.500
I2 I 0.000 0.500 0.500
N1 N 0.000 0.000 0.000
O1 O 0.000 0.333 0.000
```